1.
Density functional theory data (GGA-PBE) for a geometry-optimized Pm5Si2O structure.

The structure belongs to space group Fmmm (No. 69); the cell edges are 5.219, 10.136 and 14.684 Å and the angles 90.00°, 90.00° and 90.00°. The inequivalent atoms are Pm at (0.000, 0.000, 0.000), Pm at (0.000, 0.155, 0.369), Si at (0.000, 0.000, 0.193) and O at (0.000, 0.000, 0.500).

As for the crystal system: orthorhombic.

***

2.
Density functional theory data (GGA-PBE) for a geometry-optimized Pm4SiO structure.

The structure belongs to space group P2_1/m (No. 11); the cell edges are 4.838, 9.437 and 7.015 Å and the angles 90.00°, 90.01° and 90.00°. The inequivalent atoms are Pm at (0.249, 0.250, 0.226), Pm at (0.250, 0.049, 0.684), Pm at (0.251, 0.750, 0.102), Si at (0.251, 0.750, 0.520) and O at (0.249, 0.250, 0.892).

As for the crystal system: monoclinic.

***

3.
Density functional theory data (GGA-PBE) for a geometry-optimized Pm2Si2O7 structure.

The structure belongs to space group C2/m (No. 12); the cell edges are 7.107, 9.330 and 4.813 Å and the angles 90.00°, 101.31° and 90.00°. The inequivalent atoms are Pm at (0.000, 0.194, 0.000), Si at (0.215, 0.500, 0.414), O at (0.000, 0.500, 0.500), O at (0.126, 0.000, 0.289) and O at (0.235, 0.355, 0.226).

As for the crystal system: monoclinic.

***

4.
Density functional theory data (GGA-PBE) for a geometry-optimized Pm3SiO6 structure.

The structure belongs to space group Cmc2_1 (No. 36); the cell edges are 9.151, 11.362 and 5.606 Å and the angles 90.00°, 90.00° and 90.00°. The inequivalent atoms are Pm at (0.000, 0.101, 0.000), Pm at (0.187, 0.399, 0.036), Si at (0.000, 0.306, 0.584), O at (0.000, 0.283, 0.295), O at (0.000, 0.449, 0.664), O at (0.144, 0.246, 0.720) and O at (0.157, 0.014, 0.272).

As for the crystal system: orthorhombic.

***

The records above give, respectively, E_form (uncorrected) values of -893.2; -1064.4; -3169.4; -3123.7 meV per atom.
The records above give, respectively, magnetization values of 1.9; 0.0; 0.0; 0.0 Bohr magnetons per cell.
The records above give, respectively, DOS(E_F) values of 33.1; 12.6; 0.0; 9.5 states/eV/cell.